{
  "formula": "Li3Pb4",
  "functional": "meta-GGA SCAN",
  "state": "single point on PBEsol structure",
  "formation_enthalpy_0k_ev_per_atom": -0.24,
  "crystal_system": "tetragonal",
  "cell": [[-1.9933, 1.9933, 10.7496], [1.9933, -1.9933, 10.7496], [1.9933, 1.9933, -10.7496]],
  "species": ["Li", "Li", "Li", "Pb", "Pb", "Pb", "Pb"],
  "fractional_positions": [[0.0000, 0.0000, 0.0000], [0.2861, 0.2861, 0.0000], [0.7139, 0.7139, 0.0000], [0.1496, 0.1496, 0.0000], [0.4256, 0.4256, 0.0000], [0.5744, 0.5744, 0.0000], [0.8504, 0.8504, 0.0000]]
}